--- 1 ---
VASP calculation (GGA-PBE) on an optimized crystal structure of LiHSe2Br.

Lattice parameters (Å, degrees): 4.7210 4.7210 5.2374 90.00 90.00 90.00
Closest atoms and distances in Å follow each position.
Space group P4/mmm (No. 123)
Symmetry-distinct sites (fractional):
Li 0.0000 0.0000 0.0000 x1  4 Se 2.36, 2 Br 2.62
H 0.5000 0.5000 0.5000 x1  4 Br 3.34, 8 Se 3.53
Se 0.0000 0.5000 0.0000 x2  2 Li 2.36
Br 0.0000 0.0000 0.5000 x1  2 Li 2.62

Results
N(E_F) in states/eV per cell: 3.60



--- 2 ---
VASP calculation (GGA-PBE) on an optimized crystal structure of LiHSe2Br.

Lattice parameters (Å, degrees): 3.8903 3.8903 8.2296 90.00 90.00 90.00
Closest atoms and distances in Å follow each position.
Space group P4/mmm (No. 123)
Symmetry-distinct sites (fractional):
Li 0.0000 0.0000 0.0000 x1  4 Br 2.75
H 0.5000 0.5000 0.5000 x1  4 Se 1.95
Se 0.0000 0.5000 0.5000 x2  2 H 1.95
Br 0.5000 0.5000 0.0000 x1  4 Li 2.75

Results
N(E_F) in states/eV per cell: 1.75



Energies in meV per atom, measured from the most stable structure: 1 825; 2 0.



--- 1 ---
VASP calculation (GGA-PBE) on an optimized crystal structure of Mg2HBr.

Lattice parameters (Å, degrees): 6.8430 6.8430 6.8430 90.00 90.00 90.00
Closest atoms and distances in Å follow each position.
Space group Fm-3m (No. 225)
Symmetry-distinct sites (fractional):
Mg 0.2500 0.2500 0.2500 x8  4 H 2.96, 4 Br 2.96
H 0.0000 0.0000 0.0000 x4  8 Mg 2.96
Br 0.0000 0.0000 0.5000 x4  8 Mg 2.96

Results
N(E_F) in states/eV per cell: 5.80



--- 2 ---
VASP calculation (GGA-PBE) on an optimized crystal structure of Mg2HBr.

Lattice parameters (Å, degrees): 5.3603 5.3603 12.3706 90.00 90.00 90.00
Closest atoms and distances in Å follow each position.
Space group I-42d (No. 122)
Symmetry-distinct sites (fractional):
Mg 0.1303 0.2500 0.1250 x8  2 H 2.16
H 0.0000 0.0000 0.0000 x4  4 Mg 2.16
Br 0.0000 0.0000 0.5000 x4  4 Mg 2.85

Results
N(E_F) in states/eV per cell: 0.73



Energies in meV per atom, measured from the most stable structure: 1 363; 2 0.



--- 1 ---
VASP calculation (GGA-PBE) on an optimized crystal structure of MgHSeBr2.

Lattice parameters (Å, degrees): 5.3657 5.3657 3.6095 90.00 90.00 90.00
Closest atoms and distances in Å follow each position.
Space group P4/mmm (No. 123)
Symmetry-distinct sites (fractional):
Mg 0.0000 0.0000 0.0000 x1  8 Br 3.23, 2 Mg 3.61
H 0.5000 0.5000 0.5000 x1  2 Se 1.80
Se 0.5000 0.5000 0.0000 x1  2 H 1.80
Br 0.0000 0.5000 0.5000 x2  2 H 2.68

Results
N(E_F) in states/eV per cell: 2.99



--- 2 ---
VASP calculation (GGA-PBE) on an optimized crystal structure of MgHSeBr2.

Lattice parameters (Å, degrees): 5.3022 5.3022 5.3478 90.00 90.00 90.00
Closest atoms and distances in Å follow each position.
Space group P4/mmm (No. 123)
Symmetry-distinct sites (fractional):
Mg 0.0000 0.0000 0.0000 x1  4 Br 2.65, 2 Se 2.67
H 0.5000 0.5000 0.5000 x1  4 Se 3.75, 8 Br 3.77
Se 0.0000 0.0000 0.5000 x1  2 Mg 2.67
Br 0.0000 0.5000 0.0000 x2  2 Mg 2.65

Results
N(E_F) in states/eV per cell: 1.77



Energies in meV per atom, measured from the most stable structure: 1 0; 2 26.



--- 1 ---
VASP calculation (GGA-PBE) on an optimized crystal structure of MnHBr3.

Lattice parameters (Å, degrees): 4.7233 4.7233 4.7233 90.00 90.00 90.00
Closest atoms and distances in Å follow each position.
Space group Pm-3m (No. 221)
Symmetry-distinct sites (fractional):
Mn 0.0000 0.0000 0.0000 x1  12 Br 3.34
H 0.5000 0.5000 0.5000 x1  6 Br 2.36
Br 0.0000 0.5000 0.5000 x3  2 H 2.36

Results
N(E_F) in states/eV per cell: 2.53



--- 2 ---
VASP calculation (GGA-PBE) on an optimized crystal structure of MnHBr3.

Lattice parameters (Å, degrees): 5.0959 5.0959 5.0959 90.00 90.00 90.00
Closest atoms and distances in Å follow each position.
Space group Pm-3m (No. 221)
Symmetry-distinct sites (fractional):
Mn 0.0000 0.0000 0.0000 x1  6 Br 2.55
H 0.5000 0.5000 0.5000 x1  12 Br 3.60
Br 0.0000 0.0000 0.5000 x3  2 Mn 2.55

Results
N(E_F) in states/eV per cell: 2.86



Energies in meV per atom, measured from the most stable structure: 1 410; 2 0.